First-principles (PBE) data for Sc2CdCoH after structural relaxation, as listed in Alexandria via LeMat-Bulk.

a = 5.3020 Å, b = 4.6328 Å, c = 5.3020 Å
α = 90.00°, β = 90.00°, γ = 90.00°
Each line ends with the local moment (μB).
Element x y z (fractional)
Sc 0.0000 0.0000 0.5000  0.06
Sc 0.5000 0.0000 0.0000  0.09
H 0.5000 0.5000 0.5000  -0.01
Co 0.0000 0.5000 0.0000  0.13
Cd 0.0000 0.0000 0.0000  0.00

Properties
Symmetry   P4/mmm (123)
N(E_F)   1.821 states/eV/atom
Uncorrected energy   -3.49 eV/atom
Density   3.344 Mg/m³
Crystal system   tetragonal
Volume   26.047 Å³/atom
Energy above the lowest structure with this stoichiometry   1.6178 eV per atom



First-principles (PBE) data for SrCdCoH6 after structural relaxation, as listed in Alexandria via LeMat-Bulk.

a = 4.7622 Å, b = 4.7623 Å, c = 4.5713 Å
α = 90.00°, β = 90.00°, γ = 60.00°
Element x y z (fractional)
Sr 0.0000 0.0000 0.9999
Cd 0.6666 0.6667 0.4999
Co 0.3333 0.3333 0.5000
H 0.0651 0.4667 0.2508
H 0.4668 0.0651 0.7492
H 0.4681 0.4668 0.7492
H 0.0651 0.4681 0.7492
H 0.4667 0.4682 0.2508
H 0.4681 0.0652 0.2508

Properties
Symmetry   P-6m2 (187)
N(E_F)   0.197 states/eV/atom
Uncorrected energy   -3.49 eV/atom
Density   4.901 Mg/m³
Crystal system   hexagonal
Volume   9.976 Å³/atom



First-principles (PBE) data for VCd2CoH after structural relaxation, as listed in Alexandria via LeMat-Bulk.

a = 5.4286 Å, b = 4.1035 Å, c = 5.4286 Å
α = 90.00°, β = 90.00°, γ = 90.00°
Each line ends with the local moment (μB).
Element x y z (fractional)
H 0.5000 0.5000 0.5000  0.29
V 0.0000 0.0000 0.0000  1.89
Co 0.0000 0.5000 0.0000  -0.79
Cd 0.0000 0.0000 0.5000  0.02
Cd 0.5000 0.0000 0.0000  0.05

Properties
Symmetry   P4/mmm (123)
N(E_F)   0.888 states/eV/atom
Uncorrected energy   -2.92 eV/atom
Density   4.610 Mg/m³
Crystal system   tetragonal
Volume   24.186 Å³/atom



First-principles (PBE) data for Y2CdCoH after structural relaxation, as listed in Alexandria via LeMat-Bulk.

a = 5.0213 Å, b = 5.0213 Å, c = 3.6284 Å
α = 90.00°, β = 90.00°, γ = 90.00°
Each line ends with the local moment (μB).
Element x y z (fractional)
Y 0.0000 0.5000 0.0000  -0.06
Y 0.5000 0.0000 0.0000  -0.06
H 0.0000 0.0000 0.0000  0.00
Co 0.0000 0.0000 0.5000  0.85
Cd 0.5000 0.5000 0.5000  0.00

Properties
Symmetry   P4/mmm (123)
N(E_F)   0.700 states/eV/atom
Uncorrected energy   -5.13 eV/atom
Density   6.356 Mg/m³
Crystal system   tetragonal
Volume   18.297 Å³/atom



First-principles (PBE) data for Zr2CdCoH after structural relaxation, as listed in Alexandria via LeMat-Bulk.

a = 4.6138 Å, b = 4.6138 Å, c = 3.6372 Å
α = 90.00°, β = 90.00°, γ = 90.00°
Each line ends with the local moment (μB).
Element x y z (fractional)
H 0.0000 0.0000 0.0000  0.00
Co 0.0000 0.0000 0.5000  0.54
Zr 0.0000 0.5000 0.0000  0.01
Zr 0.5000 0.0000 0.0000  0.01
Cd 0.5000 0.5000 0.5000  0.00

Properties
Symmetry   P4/mmm (123)
N(E_F)   0.842 states/eV/atom
Uncorrected energy   -5.83 eV/atom
Density   7.609 Mg/m³
Crystal system   tetragonal
Volume   15.485 Å³/atom



First-principles (PBE) data for HfCdCo2 after structural relaxation, as listed in Alexandria via LeMat-Bulk.

a = 3.3200 Å, b = 4.2372 Å, c = 4.2372 Å
α = 90.00°, β = 90.00°, γ = 90.00°
Element x y z (fractional)
Co 0.0000 0.0000 0.5000
Co 0.0000 0.5000 0.0000
Hf 0.5000 0.5000 0.5000
Cd 0.5000 0.0000 0.0000

Properties
Symmetry   P4/mmm (123)
N(E_F)   0.066 states/eV/atom
Uncorrected energy   -6.37 eV/atom
Density   11.387 Mg/m³
Energy relative to the elements   -0.4 eV per formula unit
Crystal system   tetragonal
Volume   14.902 Å³/atom